No. 1
A relaxed structure of K4TaRh, computed with PBEsol.

As for the density of states at the Fermi level: 10.5 states/eV/f.u. The density comes out at 4.08 g/cm³. The energy relative to the elements is 1.677 eV/atom.

The space group is F-43m (No. 216) and the conventional cell measures 8.949, 8.949 and 8.949 Å, with angles of 90.00, 90.00 and 90.00 degrees. The distinct sites, in fractional coordinates, are K at (0.124, 0.124, 0.376), Ta at (0.000, 0.000, 0.000) and Rh at (0.250, 0.250, 0.750).

---

No. 2
A relaxed structure of BeTcNF2, computed with PBEsol.

As for the density of states at the Fermi level: 3.2 states/eV/f.u. As for the uncorrected formation energy: -1.1 eV/f.u. The density comes out at 4.27 g/cm³.

The space group is P4/mmm (No. 123) and the conventional cell measures 4.049, 4.049 and 3.767 Å, with angles of 90.00, 90.00 and 90.00 degrees. The distinct sites, in fractional coordinates, are Be at (0.000, 0.000, 0.000), Tc at (0.500, 0.500, 0.500), N at (0.500, 0.500, 0.000) and F at (0.000, 0.500, 0.500).

---

Please write out number 1 again, unchanged.
A relaxed structure of K4TaRh, computed with PBEsol.

As for the density of states at the Fermi level: 10.5 states/eV/f.u. The density comes out at 4.08 g/cm³. The energy relative to the elements is 1.677 eV/atom.

The space group is F-43m (No. 216) and the conventional cell measures 8.949, 8.949 and 8.949 Å, with angles of 90.00, 90.00 and 90.00 degrees. The distinct sites, in fractional coordinates, are K at (0.124, 0.124, 0.376), Ta at (0.000, 0.000, 0.000) and Rh at (0.250, 0.250, 0.750).

---

Which of these has the highest density of states at the Fermi level?
K4TaRh